[1]
AgTeN2O: optimized geometry, PBE.

Unit cell a=3.8913 b=3.8913 c=6.3802 alpha=90.00 beta=90.00 gamma=90.00
Closest atoms and distances in Å follow each position.
Space group P4/mmm (No. 123)
One atom of each set of equivalent atoms:
1 Ag 0.0000 0.0000 0.0000 (multiplicity 1)  4 N 1.95
2 Te 0.0000 0.0000 0.5000 (multiplicity 1)  4 O 2.75
3 N 0.0000 0.5000 0.0000 (multiplicity 2)  2 Ag 1.95
4 O 0.5000 0.5000 0.5000 (multiplicity 1)  4 Te 2.75

Summary:
ρ: 4.80 g/cm³
ΔE_f (raw): 1950.1 meV/atom
E: -3.570 eV per atom

[2]
ZnReMo2: optimized geometry, PBE.

Unit cell a=5.3901 b=8.8019 c=2.6815 alpha=90.00 beta=106.43 gamma=90.00
Closest atoms and distances in Å follow each position.
Space group C2/m (No. 12)
One atom of each set of equivalent atoms:
1 Zn 0.0000 0.0000 0.0000 (multiplicity 2)  2 Zn 2.68, 2 Re 2.70, 4 Mo 2.73
2 Re 0.0000 0.5000 0.0000 (multiplicity 2)  2 Re 2.68, 2 Zn 2.70, 4 Mo 2.73
3 Mo 0.2500 0.2500 0.5000 (multiplicity 4)  4 Mo 2.68-2.70, 2 Re 2.73, 2 Zn 2.73

Summary:
calculated formation energy: 0.177 eV per atom
ρ: 12.07 g/cm³
E: -8.669 eV per atom

[3]
Ti2SnTe: optimized geometry, PBE.

Unit cell a=6.1342 b=6.1342 c=13.2463 alpha=90.00 beta=90.00 gamma=90.00
Closest atoms and distances in Å follow each position.
Space group I-42d (No. 122)
One atom of each set of equivalent atoms:
1 Ti 0.2460 0.2500 0.1250 (multiplicity 8)  2 Sn 2.71, 2 Te 2.74
2 Sn 0.0000 0.0000 0.0000 (multiplicity 4)  4 Ti 2.71
3 Te 0.0000 0.0000 0.5000 (multiplicity 4)  4 Ti 2.74

Summary:
ρ: 4.56 g/cm³
ΔE_f (raw): 315.9 meV/atom
E: -5.418 eV per atom

- What is the ρ in the second record?
  12.07 g/cm³

- ρ of number 2 (ZnReMo2)?
  12.07 g/cm³

What did the second record say?
ZnReMo2: optimized geometry, PBE.

Unit cell a=5.3901 b=8.8019 c=2.6815 alpha=90.00 beta=106.43 gamma=90.00
Closest atoms and distances in Å follow each position.
Space group C2/m (No. 12)
One atom of each set of equivalent atoms:
1 Zn 0.0000 0.0000 0.0000 (multiplicity 2)  2 Zn 2.68, 2 Re 2.70, 4 Mo 2.73
2 Re 0.0000 0.5000 0.0000 (multiplicity 2)  2 Re 2.68, 2 Zn 2.70, 4 Mo 2.73
3 Mo 0.2500 0.2500 0.5000 (multiplicity 4)  4 Mo 2.68-2.70, 2 Re 2.73, 2 Zn 2.73

Summary:
calculated formation energy: 0.177 eV per atom
ρ: 12.07 g/cm³
E: -8.669 eV per atom

- Number 2 is which compound?
  ZnReMo2